First-principles (PBE) data for Y6HoMg after structural relaxation, as listed in Alexandria.

## Properties
* ΔE to the lowest computed polymorph: 0.0 kJ/mol of atoms
* E_form: 0.027 eV/atom
* magnetic moment: 0.00 μB/cell
* calculated volume: 250 Å³/cell

Structure (POSCAR):
```
Y6HoMg
1.0
5.893 -2.689 0.000
5.893 2.689 0.000
-3.236 0.000 7.889
Y Ho Mg
6 1 1
direct
0.009 0.009 0.226
0.252 0.252 0.645
0.277 0.277 0.118
0.723 0.723 0.882
0.748 0.748 0.355
0.991 0.991 0.774
0.500 0.500 0.500
0.500 0.500 0.000
```

First-principles (PBE) data for Ti2Ga2Ni7Pt after structural relaxation, as listed in Alexandria.

## Properties
* E_form: -0.072 eV/atom
* magnetic moment: 0.19 μB/cell
* calculated volume: 166 Å³/cell

Structure (POSCAR):
```
Ti2Ga2Ni7Pt
1.0
2.420 -2.419 0.000
2.420 2.419 0.000
-2.258 0.000 14.168
Ti Ga Ni Pt
2 2 7 1
direct
0.124 0.124 0.265
0.876 0.876 0.735
0.317 0.317 0.620
0.683 0.683 0.380
0.000 0.000 0.000
0.065 0.565 0.141
0.219 0.219 0.448
0.435 0.935 0.859
0.565 0.065 0.141
0.781 0.781 0.552
0.935 0.435 0.859
0.500 0.500 0.000
```

First-principles (PBE) data for RbNa2ZrRe after structural relaxation, as listed in Alexandria.

## Properties
* E_form: 1.157 eV/atom
* magnetic moment: 0.65 μB/cell
* calculated volume: 188 Å³/cell

Structure (POSCAR):
```
RbNa2ZrRe
1.0
6.261 0.000 0.000
0.000 6.261 0.000
0.000 0.000 4.805
Rb Na Zr Re
1 2 1 1
direct
0.000 0.000 0.000
0.000 0.500 0.500
0.500 0.000 0.500
0.500 0.500 0.500
0.500 0.500 0.000
```

First-principles (PBE) data for TiCl after structural relaxation, as listed in Alexandria.

## Properties
* formation energy from raw total energies: -0.08 eV/atom
* magnetic moment: 0.00 μB/cell
* calculated volume: 293 Å³/cell

Structure (POSCAR):
```
TiCl
1.0
6.645 0.000 0.000
0.000 6.645 0.000
0.000 0.000 6.645
Ti Cl
6 6
direct
0.000 0.250 0.500
0.000 0.750 0.500
0.250 0.500 0.000
0.500 0.000 0.250
0.500 0.000 0.750
0.750 0.500 0.000
0.000 0.500 0.250
0.000 0.500 0.750
0.250 0.000 0.500
0.500 0.250 0.000
0.500 0.750 0.000
0.750 0.000 0.500
```

First-principles (PBE) data for EuAgSnRh after structural relaxation, as listed in Alexandria.

## Properties
* E_form: -0.308 eV/atom
* magnetic moment: 6.86 μB/cell
* calculated volume: 84 Å³/cell

Structure (POSCAR):
```
EuAgSnRh
1.0
0.000 3.475 3.475
3.475 0.000 3.475
3.475 3.475 0.000
Eu Ag Sn Rh
1 1 1 1
direct
0.000 0.000 0.000
0.750 0.750 0.750
0.500 0.500 0.500
0.250 0.250 0.250
```

First-principles (PBE) data for AsIN2 after structural relaxation, as listed in Alexandria.

## Properties
* ΔE to the lowest computed polymorph: 106.3 kJ/mol of atoms
* formation energy from raw total energies: 2.18 eV/atom
* magnetic moment: 0.00 μB/cell
* calculated volume: 54 Å³/cell

Structure (POSCAR):
```
AsIN2
1.0
0.000 3.009 3.009
3.009 0.000 3.009
3.009 3.009 0.000
As I N
1 1 2
direct
0.000 0.000 0.000
0.500 0.500 0.500
0.250 0.250 0.250
0.750 0.750 0.750
```

First-principles (PBE) data for TbAsS3 after structural relaxation, as listed in Alexandria.

## Properties
* formation energy from raw total energies: -0.97 eV/atom
* magnetic moment: 0.00 μB/cell
* calculated volume: 254 Å³/cell

Structure (POSCAR):
```
TbAsS3
1.0
3.344 1.930 6.555
-3.344 1.930 6.555
0.000 -3.861 6.555
Tb As S
2 2 6
direct
0.156 0.156 0.156
0.844 0.844 0.844
0.377 0.377 0.377
0.623 0.623 0.623
0.088 0.443 0.734
0.266 0.912 0.557
0.443 0.734 0.088
0.557 0.266 0.912
0.734 0.088 0.443
0.912 0.557 0.266
```

First-principles (PBE) data for CdBi2Pd after structural relaxation, as listed in Alexandria.

## Properties
* E_form: -0.105 eV/atom
* magnetic moment: 0.00 μB/cell
* calculated volume: 100 Å³/cell

Structure (POSCAR):
```
CdBi2Pd
1.0
3.395 0.000 0.000
0.000 3.395 0.000
0.000 0.000 8.673
Cd Bi Pd
1 2 1
direct
0.000 0.000 0.000
0.500 0.500 0.289
0.500 0.500 0.711
0.000 0.000 0.500
```

First-principles (PBE) data for Zr2FeIr after structural relaxation, as listed in Alexandria.

## Properties
* E_form: -0.511 eV/atom
* magnetic moment: 0.80 μB/cell
* calculated volume: 69 Å³/cell

Structure (POSCAR):
```
Zr2FeIr
1.0
4.585 0.000 0.000
0.000 4.585 0.000
0.000 0.000 3.303
Zr Fe Ir
2 1 1
direct
0.000 0.500 0.000
0.500 0.000 0.000
0.000 0.000 0.500
0.500 0.500 0.500
```

First-principles (PBE) data for MgBeRe2 after structural relaxation, as listed in Alexandria.

## Properties
* ΔE to the lowest computed polymorph: 25.3 kJ/mol of atoms
* E_form: 0.313 eV/atom
* magnetic moment: 0.00 μB/cell
* calculated volume: 58 Å³/cell

Structure (POSCAR):
```
MgBeRe2
1.0
4.357 -1.383 0.000
4.357 1.383 0.000
-0.663 0.000 4.800
Mg Be Re
1 1 2
direct
0.000 0.000 0.000
0.759 0.759 0.230
0.240 0.240 0.695
0.486 0.486 0.487
```

First-principles (PBE) data for AlVMoRu after structural relaxation, as listed in Alexandria.

## Properties
* E_form: -0.277 eV/atom
* magnetic moment: 0.00 μB/cell
* calculated volume: 57 Å³/cell

Structure (POSCAR):
```
AlVMoRu
1.0
0.000 3.054 3.054
3.054 0.000 3.054
3.054 3.054 0.000
Al V Mo Ru
1 1 1 1
direct
0.000 0.000 0.000
0.500 0.500 0.500
0.250 0.250 0.250
0.750 0.750 0.750
```

First-principles (PBE) data for Be2PtCl after structural relaxation, as listed in Alexandria.

## Properties
* ΔE to the lowest computed polymorph: 11.8 kJ/mol of atoms
* formation energy from raw total energies: -0.41 eV/atom
* magnetic moment: 0.00 μB/cell
* calculated volume: 68 Å³/cell

Structure (POSCAR):
```
Be2PtCl
1.0
1.832 1.058 5.812
-1.832 1.058 5.812
0.000 -2.115 5.812
Be Pt Cl
2 1 1
direct
0.000 0.000 0.000
0.371 0.371 0.371
0.634 0.634 0.634
0.482 0.482 0.482
```

First-principles (PBE) data for MnZn2P after structural relaxation, as listed in Alexandria.

## Properties
* E_form: -0.073 eV/atom
* magnetic moment: 0.41 μB/cell
* calculated volume: 58 Å³/cell

Structure (POSCAR):
```
MnZn2P
1.0
-1.285 1.817 6.226
1.285 -1.817 6.226
1.285 1.817 -6.226
Mn Zn P
1 2 1
direct
0.000 0.000 0.000
0.187 0.687 0.500
0.813 0.313 0.500
0.500 0.500 0.000
```

First-principles (PBE) data for AlFe2W after structural relaxation, as listed in Alexandria.

## Properties
* E_form: 0.618 eV/atom
* magnetic moment: 6.54 μB/cell
* calculated volume: 116 Å³/cell

Structure (POSCAR):
```
AlFe2W
1.0
-3.336 3.336 2.596
3.336 -3.336 2.596
3.336 3.336 -2.596
Al Fe W
2 4 2
direct
0.000 0.000 0.000
0.750 0.250 0.500
0.132 0.625 0.007
0.375 0.382 0.507
0.618 0.125 0.993
0.875 0.868 0.493
0.250 0.750 0.500
0.500 0.500 0.000
```

First-principles (PBE) data for AcLaNd2Sm6 after structural relaxation, as listed in Alexandria.

## Properties
* E_form: 0.122 eV/atom
* magnetic moment: 0.00 μB/cell
* calculated volume: 722 Å³/cell

Structure (POSCAR):
```
AcLaNd2Sm6
1.0
4.657 -7.889 0.000
4.657 7.889 0.000
-1.074 0.000 9.833
Ac La Nd Sm
2 2 4 12
direct
0.026 0.974 0.750
0.974 0.026 0.250
0.408 0.592 0.250
0.592 0.408 0.750
0.190 0.308 0.544
0.308 0.190 0.044
0.692 0.810 0.956
0.810 0.692 0.456
0.028 0.564 0.681
0.125 0.745 0.057
0.255 0.875 0.443
0.292 0.502 0.882
0.436 0.972 0.819
0.498 0.708 0.618
0.502 0.292 0.382
0.564 0.028 0.181
0.708 0.498 0.118
0.745 0.125 0.557
0.875 0.255 0.943
0.972 0.436 0.319
```

First-principles (PBE) data for CuP3Cl after structural relaxation, as listed in Alexandria.

## Properties
* ΔE to the lowest computed polymorph: 55.8 kJ/mol of atoms
* formation energy from raw total energies: 1.57 eV/atom
* magnetic moment: 0.00 μB/cell
* calculated volume: 95 Å³/cell

Structure (POSCAR):
```
CuP3Cl
1.0
4.564 0.000 0.000
0.000 4.564 0.000
0.000 0.000 4.564
Cu P Cl
1 3 1
direct
0.000 0.000 0.000
0.000 0.500 0.500
0.500 0.000 0.500
0.500 0.500 0.000
0.500 0.500 0.500
```

First-principles (PBE) data for KNa5Hg4 after structural relaxation, as listed in Alexandria.

## Properties
* E_form: -0.186 eV/atom
* magnetic moment: 0.00 μB/cell
* calculated volume: 304 Å³/cell

Structure (POSCAR):
```
KNa5Hg4
1.0
3.908 0.000 0.000
0.000 3.908 0.000
0.000 0.000 19.911
K Na Hg
1 5 4
direct
0.000 0.000 0.000
0.500 0.500 0.154
0.500 0.500 0.325
0.500 0.500 0.500
0.500 0.500 0.675
0.500 0.500 0.846
0.000 0.000 0.238
0.000 0.000 0.412
0.000 0.000 0.588
0.000 0.000 0.762
```

First-principles (PBE) data for PuSn2Rh after structural relaxation, as listed in Alexandria.

## Properties
* E_form: -0.468 eV/atom
* magnetic moment: 44.83 μB/cell
* calculated volume: 721 Å³/cell

Structure (POSCAR):
```
PuSn2Rh
1.0
16.656 0.000 0.000
0.000 7.327 0.000
0.000 0.000 5.911
Pu Sn Rh
8 16 8
direct
0.111 0.250 0.243
0.142 0.750 0.035
0.358 0.250 0.535
0.389 0.750 0.743
0.611 0.250 0.257
0.642 0.750 0.465
0.858 0.250 0.965
0.889 0.750 0.757
0.033 0.042 0.753
0.033 0.458 0.753
0.215 0.545 0.522
0.215 0.955 0.522
0.285 0.045 0.022
0.285 0.455 0.022
0.467 0.542 0.253
0.467 0.958 0.253
0.533 0.042 0.747
0.533 0.458 0.747
0.715 0.545 0.978
0.715 0.955 0.978
0.785 0.045 0.478
0.785 0.455 0.478
0.967 0.542 0.247
0.967 0.958 0.247
0.076 0.750 0.493
0.169 0.250 0.779
0.331 0.750 0.279
0.424 0.250 0.993
0.576 0.750 0.007
0.669 0.250 0.721
0.831 0.750 0.221
0.924 0.250 0.507
```

First-principles (PBE) data for LaAsBr2 after structural relaxation, as listed in Alexandria.

## Properties
* ΔE to the lowest computed polymorph: 37.0 kJ/mol of atoms
* formation energy from raw total energies: -0.89 eV/atom
* magnetic moment: 0.00 μB/cell
* calculated volume: 135 Å³/cell

Structure (POSCAR):
```
LaAsBr2
1.0
2.386 1.378 6.828
-2.386 1.378 6.828
0.000 -2.755 6.828
La As Br
1 1 2
direct
0.000 0.000 0.000
0.744 0.744 0.744
0.249 0.249 0.249
0.420 0.420 0.420
```

First-principles (PBE) data for Th4SiAs2P after structural relaxation, as listed in Alexandria.

## Properties
* formation energy from raw total energies: -1.26 eV/atom
* magnetic moment: 0.00 μB/cell
* calculated volume: 214 Å³/cell

Structure (POSCAR):
```
Th4SiAs2P
1.0
7.312 0.000 0.000
0.000 4.222 0.000
-2.434 0.000 6.941
Th Si As P
4 1 2 1
direct
0.245 0.000 0.240
0.251 0.500 0.759
0.749 0.500 0.241
0.755 0.000 0.760
0.500 0.000 0.000
0.000 0.000 0.500
0.500 0.500 0.500
0.000 0.500 0.000
```

First-principles (PBE) data for CdS2ClF after structural relaxation, as listed in Alexandria.

## Properties
* ΔE to the lowest computed polymorph: 17.7 kJ/mol of atoms
* formation energy from raw total energies: 0.42 eV/atom
* magnetic moment: 3.99 μB/cell
* calculated volume: 140 Å³/cell

Structure (POSCAR):
```
CdS2ClF
1.0
5.283 0.000 0.000
0.000 5.283 0.000
0.000 0.000 5.024
Cd S Cl F
1 2 1 1
direct
0.000 0.000 0.000
0.000 0.500 0.000
0.500 0.000 0.000
0.000 0.000 0.500
0.500 0.500 0.500
```

First-principles (PBE) data for La2Ag2P3 after structural relaxation, as listed in Alexandria.

## Properties
* E_form: -0.887 eV/atom
* magnetic moment: 0.00 μB/cell
* calculated volume: 316 Å³/cell

Structure (POSCAR):
```
La2Ag2P3
1.0
7.747 -2.128 0.000
7.747 2.128 0.000
-6.960 0.000 9.585
La Ag P
4 4 6
direct
0.108 0.108 0.444
0.236 0.236 0.837
0.764 0.764 0.163
0.892 0.892 0.556
0.089 0.089 0.154
0.453 0.453 0.178
0.547 0.547 0.822
0.911 0.911 0.846
0.128 0.128 0.972
0.336 0.336 0.679
0.429 0.429 0.388
0.571 0.571 0.612
0.664 0.664 0.321
0.872 0.872 0.028
```

First-principles (PBE) data for Li2AcCu2 after structural relaxation, as listed in Alexandria.

## Properties
* ΔE to the lowest computed polymorph: 0.0 kJ/mol of atoms
* E_form: -0.088 eV/atom
* magnetic moment: 0.00 μB/cell
* calculated volume: 104 Å³/cell

Structure (POSCAR):
```
Li2AcCu2
1.0
2.917 -2.914 0.000
2.917 2.914 0.000
-2.911 0.000 6.126
Li Ac Cu
2 1 2
direct
0.250 0.750 0.000
0.750 0.250 0.000
0.000 0.000 0.500
0.397 0.397 0.291
0.603 0.603 0.709
```

First-principles (PBE) data for CaSmAl after structural relaxation, as listed in Alexandria.

## Properties
* ΔE to the lowest computed polymorph: 12.8 kJ/mol of atoms
* E_form: -0.125 eV/atom
* magnetic moment: 0.00 μB/cell
* calculated volume: 185 Å³/cell

Structure (POSCAR):
```
CaSmAl
1.0
-1.772 1.772 14.726
1.772 -1.772 14.726
1.772 1.772 -14.726
Ca Sm Al
2 2 2
direct
0.066 0.066 0.000
0.934 0.934 0.000
0.202 0.202 0.000
0.798 0.798 0.000
0.366 0.366 0.000
0.634 0.634 0.000
```

First-principles (PBE) data for LaFe2Pt after structural relaxation, as listed in Alexandria.

## Properties
* E_form: -0.239 eV/atom
* magnetic moment: 4.68 μB/cell
* calculated volume: 81 Å³/cell

Structure (POSCAR):
```
LaFe2Pt
1.0
2.139 1.235 5.110
-2.139 1.235 5.110
0.000 -2.470 5.110
La Fe Pt
1 2 1
direct
0.000 0.000 0.000
0.195 0.195 0.195
0.497 0.497 0.497
0.804 0.804 0.804
```